{
  "formula": "KYMg3",
  "functional": "GGA-PBE",
  "state": "relaxed",
  "e_above_lowest_polymorph_mev_per_atom": 0,
  "delta_e_f_ev_per_fu": 3.30,
  "lattice_angstrom": [[-5.319, 0.633, -3.012], [2.950, -0.664, -5.350], [-0.877, -6.077, 0.271]],
  "species": ["Y", "K", "Mg", "Mg", "Mg"],
  "fractional_positions": [[0.000, 0.000, 0.000], [0.500, 0.500, 0.500], [0.000, 0.500, 0.000], [0.000, 0.000, 0.500], [0.500, 0.000, 0.000]]
}